No. 1
# Rb2ZrNiSe4 PBE-GGA optimized geometry
data_Rb2ZrNiSe4
_cell_length_a 6.027
_cell_length_b 14.243
_cell_length_c 25.481
_cell_angle_alpha 90.00
_cell_angle_beta 90.00
_cell_angle_gamma 90.00
_symmetry_space_group_name_H-M 'F d d d'
_symmetry_Int_Tables_number 70
loop_
_symmetry_equiv_pos_as_xyz
'x,y,z'
'-x,-y,-z'
'-x+1/4,-y+1/4,z'
'x+1/4,y+1/4,-z'
'x,-y+1/4,-z+1/4'
'-x,y+1/4,z+1/4'
'-x+1/4,y,-z+1/4'
'x+1/4,-y,z+1/4'
'x,y+1/2,z+1/2'
'-x,-y+1/2,-z+1/2'
'-x+1/4,-y+3/4,z+1/2'
'x+1/4,y+3/4,-z+1/2'
'x,-y+3/4,-z+3/4'
'-x,y+3/4,z+3/4'
'-x+1/4,y+1/2,-z+3/4'
'x+1/4,-y+1/2,z+3/4'
'x+1/2,y,z+1/2'
'-x+1/2,-y,-z+1/2'
'-x+3/4,-y+1/4,z+1/2'
'x+3/4,y+1/4,-z+1/2'
'x+1/2,-y+1/4,-z+3/4'
'-x+1/2,y+1/4,z+3/4'
'-x+3/4,y,-z+3/4'
'x+3/4,-y,z+3/4'
'x+1/2,y+1/2,z'
'-x+1/2,-y+1/2,-z'
'-x+3/4,-y+3/4,z'
'x+3/4,y+3/4,-z'
'x+1/2,-y+3/4,-z+1/4'
'-x+1/2,y+3/4,z+1/4'
'-x+3/4,y+1/2,-z+1/4'
'x+3/4,-y+1/2,z+1/4'
loop_
_atom_site_label
_atom_site_type_symbol
_atom_site_fract_x
_atom_site_fract_y
_atom_site_fract_z
Rb1 Rb 0.125 0.125 0.304
Zr1 Zr 0.125 0.125 0.125
Ni1 Ni 0.125 0.125 0.625
Se1 Se 0.107 0.276 0.822
# V	2187.17	Å³ per cell
# magnetic moment	2.03	μB/f.u.
# raw formation energy	-0.995	eV per atom

---

No. 2
# TaTi4Pt5 PBE-GGA optimized geometry
data_TaTi4Pt5
_cell_length_a 2.832
_cell_length_b 2.832
_cell_length_c 19.652
_cell_angle_alpha 90.00
_cell_angle_beta 90.00
_cell_angle_gamma 90.00
_symmetry_space_group_name_H-M 'P 4/m m m'
_symmetry_Int_Tables_number 123
_symmetry_space_group_name_Hall '-P 4 2'
loop_
_atom_site_label
_atom_site_type_symbol
_atom_site_fract_x
_atom_site_fract_y
_atom_site_fract_z
Ta1 Ta 0.000 0.000 0.000
Ti1 Ti 0.000 0.000 0.204
Ti2 Ti 0.000 0.000 0.401
Pt1 Pt 0.500 0.500 0.104
Pt2 Pt 0.500 0.500 0.303
Pt3 Pt 0.500 0.500 0.500
# formation energy	-850	meV/atom
# V	157.59	Å³ per cell
# magnetic moment	1.98	μB/f.u.